## MgCd2W (PBE)

Data for MgCd2W after structural relaxation.

As for the formation energy: 0.5583 eV/atom. The space group is Immm (71). The value obtained for the mass density is 9.3 Mg/m³. The calculated total energy is -14.1 eV per cell.

CIF file:
```
data_MgCd2W
_cell_length_a 5.9041
_cell_length_b 5.9041
_cell_length_c 5.9041
_cell_angle_alpha 150.76
_cell_angle_beta 129.26
_cell_angle_gamma 59.64
_space_group_name_H-M_alt 'P 1'
_space_group_IT_number 1
_space_group_name_Hall 'P 1'
loop_
_atom_site_label
_atom_site_fract_x
_atom_site_fract_y
_atom_site_fract_z
_atom_site_occupancy
W1 0.2500 0.7500 0.5000 1
Cd1 0.4948 0.4948 0.0000 1
Cd2 0.0052 0.0052 0.0000 1
Mg1 0.7500 0.2500 0.5000 1
```

=====

## MgCdW (PBE)

Data for MgCdW after structural relaxation.

As for the formation energy: 1.4171 eV/atom. The space group is F-43m (216). The value obtained for the mass density is 7.6 Mg/m³. As for the excess energy over the best structure of this formula in the dataset: 1029 meV/atom. The calculated total energy is -11.2 eV per cell.

CIF file:
```
data_MgCdW
_cell_length_a 4.6317
_cell_length_b 4.6317
_cell_length_c 4.6317
_cell_angle_alpha 60.00
_cell_angle_beta 60.00
_cell_angle_gamma 60.00
_space_group_name_H-M_alt 'P 1'
_space_group_IT_number 1
_space_group_name_Hall 'P 1'
loop_
_atom_site_label
_atom_site_fract_x
_atom_site_fract_y
_atom_site_fract_z
_atom_site_occupancy
Cd1 0.0000 0.0000 0.0000 1
W1 0.7500 0.7500 0.7500 1
Mg1 0.5000 0.5000 0.5000 1
```

=====

> Among the records above, which one has the highest calculated total energy?

MgCdW